The following is a PBE+U calculation of a relaxed structure of Ba2CdCo3F12, from Alexandria via LeMat-Bulk.

Geometry as POSCAR:
```
Ba2CdCo3F12
1.0
3.654 2.110 5.800
-3.654 2.110 5.800
0.000 -4.220 5.800
Ba Cd Co F
2 1 3 12
direct
0.113 0.113 0.113 Ba
0.887 0.887 0.887 Ba
0.500 0.500 0.500 Cd
0.000 0.500 0.500 Co
0.500 0.000 0.500 Co
0.500 0.500 0.000 Co
0.091 0.634 0.634 F
0.216 0.216 0.641 F
0.216 0.641 0.216 F
0.359 0.784 0.784 F
0.366 0.366 0.909 F
0.366 0.909 0.366 F
0.634 0.091 0.634 F
0.634 0.634 0.091 F
0.641 0.216 0.216 F
0.784 0.359 0.784 F
0.784 0.784 0.359 F
0.909 0.366 0.366 F
```

Output
Calculated total energy: -5.00 eV per atom
Crystal system: trigonal
V: 14.91 Å³ per atom